Here is a geometry-optimized ReAg2W structure from the Alexandria database. Energies are from PBE.

Values from the calculation:
* volume: 16.2 Å³/atom
* density: 15.00 g cm⁻³
* total magnetization: 0.00 μB per atom
* ΔE to the lowest computed polymorph: 0.363 eV per atom
* E_form: 69.4 kJ/mol of atoms
* space-group type: No. 119

a b c (Å): 4.812 4.812 4.812
angles (deg): 129.41 129.41 74.36
Fractional positions:
Re: 0.000 0.000 0.000
Ag: 0.500 0.500 0.000
Ag: 0.750 0.250 0.500
W: 0.250 0.750 0.500

---

Here is a geometry-optimized HoLuRh4 structure from the Alexandria database. Energies are from PBE.

Values from the calculation:
* volume: 17.6 Å³/atom
* density: 11.82 g cm⁻³
* total magnetization: 0.00 μB per atom
* E_form: -73.2 kJ/mol of atoms
* space-group type: No. 216

a b c (Å): 5.306 5.306 5.306
angles (deg): 60.00 60.00 60.00
Fractional positions:
Ho: 0.000 0.000 0.000
Lu: 0.750 0.750 0.750
Rh: 0.375 0.375 0.375
Rh: 0.375 0.375 0.875
Rh: 0.375 0.875 0.375
Rh: 0.875 0.375 0.375

---

Here is a geometry-optimized RuSeBr2F structure from the Alexandria database. Energies are from PBE.

Values from the calculation:
* volume: 24.2 Å³/atom
* formation energy from raw total energies: 0.150 eV/atom
* density: 4.92 g cm⁻³
* total magnetization: 0.01 μB per atom
* ΔE to the lowest computed polymorph: 0.000 eV per atom
* space-group type: No. 123

a b c (Å): 5.108 5.108 4.641
angles (deg): 90.00 90.00 90.00
Fractional positions:
Ru: 0.000 0.000 0.000
Se: 0.000 0.000 0.500
Br: 0.000 0.500 0.000
Br: 0.500 0.000 0.000
F: 0.500 0.500 0.500

---

Here is a geometry-optimized Ba2HgRhBr structure from the Alexandria database. Energies are from PBE.

Values from the calculation:
* volume: 37.5 Å³/atom
* formation energy from raw total energies: -0.736 eV/atom
* density: 5.84 g cm⁻³
* total magnetization: 0.00 μB per atom
* space-group type: No. 123

a b c (Å): 5.972 5.972 5.250
angles (deg): 90.00 90.00 90.00
Fractional positions:
Ba: 0.000 0.500 0.000
Ba: 0.500 0.000 0.000
Hg: 0.000 0.000 0.500
Rh: 0.000 0.000 0.000
Br: 0.500 0.500 0.500

---

Here is a geometry-optimized HoTm3Tc structure from the Alexandria database. Energies are from PBE.

Values from the calculation:
* volume: 26.9 Å³/atom
* density: 9.51 g cm⁻³
* total magnetization: 0.00 μB per atom
* ΔE to the lowest computed polymorph: 0.008 eV per atom
* E_form: -3.0 kJ/mol of atoms
* space-group type: No. 59

a b c (Å): 4.871 8.119 6.793
angles (deg): 90.00 90.00 90.00
Fractional positions:
Ho: 0.250 0.250 0.077
Ho: 0.750 0.750 0.923
Tm: 0.250 0.549 0.680
Tm: 0.250 0.750 0.256
Tm: 0.250 0.951 0.680
Tm: 0.750 0.049 0.320
Tm: 0.750 0.250 0.744
Tm: 0.750 0.451 0.320
Tc: 0.250 0.250 0.483
Tc: 0.750 0.750 0.517

---

Here is a geometry-optimized TlV3Ni structure from the Alexandria database. Energies are from PBE.

Values from the calculation:
* volume: 25.6 Å³/atom
* density: 5.39 g cm⁻³
* total magnetization: 1.59 μB per atom
* ΔE to the lowest computed polymorph: 1.351 eV per atom
* E_form: 204.9 kJ/mol of atoms
* space-group type: No. 221

a b c (Å): 5.041 5.041 5.041
angles (deg): 90.00 90.00 90.00
Fractional positions:
Tl: 0.000 0.000 0.000
V: 0.000 0.000 0.500
V: 0.000 0.500 0.000
V: 0.500 0.000 0.000
Ni: 0.500 0.500 0.500

---

Here is a geometry-optimized HgSb2Pd2 structure from the Alexandria database. Energies are from PBE.

Values from the calculation:
* volume: 24.2 Å³/atom
* formation energy from raw total energies: -0.049 eV/atom
* density: 9.03 g cm⁻³
* total magnetization: 0.00 μB per atom
* ΔE to the lowest computed polymorph: 0.126 eV per atom
* space-group type: No. 139

a b c (Å): 6.405 6.405 6.405
angles (deg): 136.98 136.98 62.46
Fractional positions:
Hg: 0.000 0.000 0.000
Sb: 0.250 0.750 0.500
Sb: 0.750 0.250 0.500
Pd: 0.373 0.373 0.000
Pd: 0.627 0.627 0.000

---

Here is a geometry-optimized HoPaCoOs structure from the Alexandria database. Energies are from PBE.

Values from the calculation:
* volume: 19.4 Å³/atom
* density: 13.81 g cm⁻³
* total magnetization: 0.00 μB per atom
* E_form: -19.0 kJ/mol of atoms
* space-group type: No. 216

a b c (Å): 4.787 4.787 4.787
angles (deg): 60.00 60.00 60.00
Fractional positions:
Ho: 0.000 0.000 0.000
Pa: 0.500 0.500 0.500
Co: 0.250 0.250 0.250
Os: 0.750 0.750 0.750